Entry 1:
VASP calculation (GGA-PBEsol) on crystalline K2CaY at its relaxed geometry.

a b c (Å): 5.184 5.184 6.748
angles (deg): 90.00 90.00 90.00
Fractional positions:
1 K 0.000 0.500 0.000
2 K 0.500 0.000 0.000
3 Ca 0.000 0.000 0.500
4 Y 0.500 0.500 0.500

Computed properties:
- magnetic moment (μB/atom) = 0.000
- density (kg/m³) = 1897
- energy above the lowest structure with this stoichiometry (kJ/mol of atoms) = 11.1
- DFT total energy (eV per atom) = -2.321
- calculated volume (Å³/cell) = 181



Entry 2:
VASP calculation (GGA-PBEsol) on crystalline KCaYZn2 at its relaxed geometry.

a b c (Å): 5.521 5.521 5.804
angles (deg): 90.00 90.00 90.00
Fractional positions:
1 K 0.000 0.000 0.000
2 Ca 0.500 0.500 0.500
3 Y 0.500 0.500 0.000
4 Zn 0.000 0.500 0.500
5 Zn 0.500 0.000 0.500

Computed properties:
- magnetic moment (μB/atom) = 0.000
- density (kg/m³) = 2806
- DFT total energy (eV per atom) = -1.846
- calculated volume (Å³/cell) = 177



Entry 3:
VASP calculation (GGA-PBEsol) on crystalline KCaZn4 at its relaxed geometry.

a b c (Å): 5.594 5.594 5.594
angles (deg): 60.00 60.00 60.00
Fractional positions:
1 K 0.000 0.000 0.000
2 Ca 0.250 0.250 0.250
3 Zn 0.128 0.624 0.624
4 Zn 0.624 0.128 0.624
5 Zn 0.624 0.624 0.128
6 Zn 0.624 0.624 0.624

Computed properties:
- magnetic moment (μB/atom) = 0.000
- density (kg/m³) = 4571
- DFT total energy (eV per atom) = -1.595
- calculated volume (Å³/cell) = 124



Entry 4:
VASP calculation (GGA-PBEsol) on crystalline KCaZn2 at its relaxed geometry.

a b c (Å): 7.216 7.216 7.216
angles (deg): 90.00 90.00 90.00
Fractional positions:
1 K 0.000 0.000 0.000
2 K 0.000 0.500 0.500
3 K 0.500 0.000 0.500
4 K 0.500 0.500 0.000
5 Ca 0.250 0.250 0.250
6 Ca 0.250 0.750 0.750
7 Ca 0.750 0.250 0.750
8 Ca 0.750 0.750 0.250
9 Zn 0.000 0.000 0.500
10 Zn 0.000 0.500 0.000
11 Zn 0.250 0.250 0.750
12 Zn 0.250 0.750 0.250
13 Zn 0.500 0.000 0.000
14 Zn 0.500 0.500 0.500
15 Zn 0.750 0.250 0.250
16 Zn 0.750 0.750 0.750

Computed properties:
- magnetic moment (μB/atom) = 0.001
- density (kg/m³) = 3712
- energy above the lowest structure with this stoichiometry (kJ/mol of atoms) = 4.8
- DFT total energy (eV per atom) = -1.383
- calculated volume (Å³/cell) = 376



Entry 5:
VASP calculation (GGA-PBEsol) on crystalline KCaZn2 at its relaxed geometry.

a b c (Å): 5.348 5.348 7.556
angles (deg): 90.00 90.00 90.00
Fractional positions:
1 K 0.000 0.000 0.000
2 K 0.500 0.500 0.500
3 Ca 0.000 0.000 0.500
4 Ca 0.500 0.500 0.000
5 Zn 0.000 0.500 0.250
6 Zn 0.000 0.500 0.750
7 Zn 0.500 0.000 0.250
8 Zn 0.500 0.000 0.750

Computed properties:
- magnetic moment (μB/atom) = 0.000
- density (kg/m³) = 3227
- energy above the lowest structure with this stoichiometry (kJ/mol of atoms) = 0.0
- DFT total energy (eV per atom) = -1.433
- calculated volume (Å³/cell) = 216



Entry 6:
VASP calculation (GGA-PBEsol) on crystalline KCa2Zn at its relaxed geometry.

a b c (Å): 7.287 11.872 3.762
angles (deg): 90.00 117.06 90.00
Fractional positions:
1 K 0.000 0.000 0.000
2 K 0.500 0.500 0.000
3 Ca 0.250 0.250 0.500
4 Ca 0.250 0.750 0.500
5 Ca 0.750 0.250 0.500
6 Ca 0.750 0.750 0.500
7 Zn 0.000 0.500 0.000
8 Zn 0.500 0.000 0.000

Computed properties:
- magnetic moment (μB/atom) = 0.000
- density (kg/m³) = 2116
- DFT total energy (eV per atom) = -1.465
- calculated volume (Å³/cell) = 290



Entry 7:
VASP calculation (GGA-PBEsol) on crystalline KCa2Zn at its relaxed geometry.

a b c (Å): 3.720 3.719 10.421
angles (deg): 90.00 90.05 90.00
Fractional positions:
1 K 0.000 0.000 0.000
2 Ca 0.500 0.500 0.335
3 Ca 0.500 0.500 0.665
4 Zn 0.000 0.000 0.500

Computed properties:
- magnetic moment (μB/atom) = 0.000
- density (kg/m³) = 2127
- DFT total energy (eV per atom) = -1.777
- calculated volume (Å³/cell) = 144



Entry 8:
VASP calculation (GGA-PBEsol) on crystalline K2CaZr at its relaxed geometry.

a b c (Å): 3.411 3.411 13.421
angles (deg): 90.00 90.00 90.00
Fractional positions:
1 K 0.000 0.000 0.229
2 K 0.000 0.000 0.771
3 Ca 0.500 0.500 0.500
4 Zr 0.500 0.500 0.000

Computed properties:
- magnetic moment (μB/atom) = 0.538
- density (kg/m³) = 2228
- energy above the lowest structure with this stoichiometry (kJ/mol of atoms) = 0.0
- DFT total energy (eV per atom) = -2.598
- calculated volume (Å³/cell) = 156



Entry 9:
VASP calculation (GGA-PBEsol) on crystalline KCaZr at its relaxed geometry.

a b c (Å): 3.819 5.465 19.453
angles (deg): 90.00 90.00 90.00
Fractional positions:
1 K 0.000 0.000 0.000
2 K 0.000 0.500 0.500
3 K 0.500 0.000 0.500
4 K 0.500 0.500 0.000
5 Ca 0.000 0.000 0.305
6 Ca 0.000 0.500 0.805
7 Ca 0.500 0.000 0.805
8 Ca 0.500 0.500 0.305
9 Zr 0.000 0.000 0.669
10 Zr 0.000 0.500 0.169
11 Zr 0.500 0.000 0.169
12 Zr 0.500 0.500 0.669

Computed properties:
- magnetic moment (μB/atom) = 0.453
- density (kg/m³) = 2788
- energy above the lowest structure with this stoichiometry (kJ/mol of atoms) = 0.0
- DFT total energy (eV per atom) = -3.507
- calculated volume (Å³/cell) = 406



Entry 10:
VASP calculation (GGA-PBEsol) on crystalline KCaZr4 at its relaxed geometry.

a b c (Å): 6.158 6.158 6.158
angles (deg): 60.00 60.00 60.00
Fractional positions:
1 K 0.000 0.000 0.000
2 Ca 0.750 0.750 0.750
3 Zr 0.380 0.380 0.380
4 Zr 0.380 0.380 0.860
5 Zr 0.380 0.860 0.380
6 Zr 0.860 0.380 0.380

Computed properties:
- magnetic moment (μB/atom) = 0.000
- density (kg/m³) = 4466
- DFT total energy (eV per atom) = -5.917
- calculated volume (Å³/cell) = 165



Entry 11:
VASP calculation (GGA-PBEsol) on crystalline KCa2Zr at its relaxed geometry.

a b c (Å): 3.568 3.568 38.684
angles (deg): 90.00 90.00 120.00
Fractional positions:
1 K 0.000 0.000 0.000
2 K 0.333 0.667 0.667
3 K 0.667 0.333 0.333
4 Ca 0.000 0.000 0.236
5 Ca 0.000 0.000 0.764
6 Ca 0.333 0.667 0.431
7 Ca 0.333 0.667 0.903
8 Ca 0.667 0.333 0.097
9 Ca 0.667 0.333 0.569
10 Zr 0.000 0.000 0.500
11 Zr 0.333 0.667 0.167
12 Zr 0.667 0.333 0.833

Computed properties:
- magnetic moment (μB/atom) = 0.000
- density (kg/m³) = 2459
- DFT total energy (eV per atom) = -3.243
- calculated volume (Å³/cell) = 426



Entry 12:
VASP calculation (GGA-PBEsol) on crystalline KCaZr at its relaxed geometry.

a b c (Å): 3.369 3.369 18.168
angles (deg): 90.00 90.00 90.00
Fractional positions:
1 K 0.000 0.000 0.000
2 K 0.500 0.500 0.500
3 Ca 0.000 0.000 0.298
4 Ca 0.500 0.500 0.798
5 Zr 0.000 0.000 0.668
6 Zr 0.500 0.500 0.168

Computed properties:
- magnetic moment (μB/atom) = 0.001
- density (kg/m³) = 2745
- energy above the lowest structure with this stoichiometry (kJ/mol of atoms) = 1.3
- DFT total energy (eV per atom) = -3.493
- calculated volume (Å³/cell) = 206